ScAl2Sb | SCAN | single point on PBEsol structure

Computed properties:
Crystal system ... tetragonal
E_form (uncorrected) ... -0.209 eV per atom

Cell and atoms, written as POSCAR:
```
ScAl2Sb
1.0
-1.3110 -3.0508 -1.7896
2.5355 0.5201 -2.7440
3.6677 -3.2075 2.7811
Sb Al Sc
1 2 1
Direct
0.5000 0.5000 0.0000
0.0000 0.0000 0.7443
0.0000 0.0000 0.2557
0.5000 0.5000 0.5000
```



TlCrIr | SCAN | single point on PBEsol structure

Computed properties:
Crystal system ... cubic
Energy of formation from the pure elements ... 0.54 eV/atom

Cell and atoms, written as POSCAR:
```
TlCrIr
1.0
4.2363 0.0000 0.0000
2.1182 3.6688 0.0000
2.1182 1.2229 3.4590
Cr Tl Ir
1 1 1
Direct
0.2500 0.2500 0.2500
0.5000 0.5000 0.5000
0.0000 0.0000 0.0000
```



TaTi2IrCl | SCAN | single point on PBEsol structure

Computed properties:
Crystal system ... tetragonal
E_form (uncorrected) ... 0.348 eV per atom

Cell and atoms, written as POSCAR:
```
TaTi2IrCl
1.0
-2.4047 -2.8484 2.1238
-1.7924 -1.2417 -3.6948
3.2101 -3.0956 -0.5169
Ti Cl Ta Ir
2 1 1 1
Direct
0.5000 0.0000 0.0000
0.0000 0.5000 0.0000
0.0000 0.0000 0.0000
0.5000 0.5000 0.5000
0.0000 0.0000 0.5000
```